--- P ---
DFT (PBE-GGA) results for crystalline TbHoSi2 at its relaxed geometry.

a = 5.719 Å, b = 5.719 Å, c = 5.719 Å
α = 47.24°, β = 47.24°, γ = 47.24°
Fractional positions:
1 Tb 0.000 0.000 0.000
2 Ho 0.500 0.500 0.500
3 Si 0.248 0.248 0.248
4 Si 0.752 0.752 0.752

Results
Theoretical density   6.844 g cm⁻³
Volume   23.05 Å³ per atom

---

--- Q ---
DFT (PBE-GGA) results for crystalline TbHoSi2 at its relaxed geometry.

a = 3.836 Å, b = 5.689 Å, c = 5.689 Å
α = 44.21°, β = 90.00°, γ = 90.00°
Fractional positions:
1 Tb 0.000 0.000 0.000
2 Ho 0.500 0.720 0.720
3 Si 0.000 0.283 0.283
4 Si 0.500 0.436 0.436

Results
Theoretical density   7.288 g cm⁻³
Volume   21.65 Å³ per atom

---

Bottom line: Q, by a margin of 0.310 eV/atom.

---

--- P ---
DFT (PBE-GGA) results for crystalline HoSi2Tc at its relaxed geometry.

a = 7.180 Å, b = 3.910 Å, c = 10.017 Å
α = 90.00°, β = 90.00°, γ = 90.00°
Fractional positions:
1 Ho 0.145 0.250 0.128
2 Ho 0.355 0.750 0.628
3 Ho 0.645 0.250 0.372
4 Ho 0.855 0.750 0.872
5 Si 0.153 0.250 0.814
6 Si 0.213 0.250 0.429
7 Si 0.287 0.750 0.929
8 Si 0.347 0.750 0.314
9 Si 0.653 0.250 0.686
10 Si 0.713 0.250 0.071
11 Si 0.787 0.750 0.571
12 Si 0.847 0.750 0.186
13 Tc 0.014 0.750 0.393
14 Tc 0.486 0.250 0.893
15 Tc 0.514 0.750 0.107
16 Tc 0.986 0.250 0.607

Results
Theoretical density   7.537 g cm⁻³
Volume   17.58 Å³ per atom

---

--- Q ---
DFT (PBE-GGA) results for crystalline HoSi2Tc at its relaxed geometry.

a = 3.126 Å, b = 3.126 Å, c = 6.790 Å
α = 90.00°, β = 90.00°, γ = 90.00°
Fractional positions:
1 Ho 0.000 0.000 0.000
2 Si 0.500 0.500 0.306
3 Si 0.500 0.500 0.694
4 Tc 0.000 0.000 0.500

Results
Theoretical density   7.987 g cm⁻³
Volume   16.59 Å³ per atom

---

--- R ---
DFT (PBE-GGA) results for crystalline HoSi2Tc at its relaxed geometry.

a = 6.718 Å, b = 6.718 Å, c = 6.718 Å
α = 40.37°, β = 40.37°, γ = 40.37°
Fractional positions:
1 Ho 0.000 0.000 0.000
2 Si 0.374 0.374 0.374
3 Si 0.626 0.626 0.626
4 Tc 0.500 0.500 0.500

Results
Theoretical density   4.622 g cm⁻³
Volume   28.66 Å³ per atom

---

--- S ---
DFT (PBE-GGA) results for crystalline HoSi2Tc at its relaxed geometry.

a = 6.570 Å, b = 6.228 Å, c = 6.739 Å
α = 90.00°, β = 90.00°, γ = 90.00°
Fractional positions:
1 Ho 0.012 0.250 0.169
2 Ho 0.488 0.750 0.669
3 Ho 0.512 0.250 0.331
4 Ho 0.988 0.750 0.831
5 Si 0.172 0.063 0.549
6 Si 0.172 0.437 0.549
7 Si 0.328 0.563 0.049
8 Si 0.328 0.937 0.049
9 Si 0.672 0.063 0.951
10 Si 0.672 0.437 0.951
11 Si 0.828 0.563 0.451
12 Si 0.828 0.937 0.451
13 Tc 0.152 0.750 0.332
14 Tc 0.348 0.250 0.832
15 Tc 0.652 0.750 0.168
16 Tc 0.848 0.250 0.668

Results
Theoretical density   7.686 g cm⁻³
Volume   17.24 Å³ per atom

---

Bottom line: P, by a margin of 0.013 eV/atom.

---

--- P ---
DFT (PBE-GGA) results for crystalline HoSiTc at its relaxed geometry.

a = 4.215 Å, b = 4.215 Å, c = 3.728 Å
α = 90.00°, β = 90.00°, γ = 120.00°
Fractional positions:
1 Ho 0.000 0.000 0.000
2 Si 0.333 0.667 0.500
3 Tc 0.667 0.333 0.500

Results
Theoretical density   8.424 g cm⁻³
Volume   19.12 Å³ per atom

---

--- Q ---
DFT (PBE-GGA) results for crystalline HoSiTc at its relaxed geometry.

a = 4.323 Å, b = 4.323 Å, c = 6.334 Å
α = 90.00°, β = 90.00°, γ = 90.00°
Fractional positions:
1 Ho 0.250 0.250 0.186
2 Ho 0.750 0.750 0.814
3 Si 0.250 0.250 0.691
4 Si 0.750 0.750 0.309
5 Tc 0.250 0.750 0.500
6 Tc 0.750 0.250 0.500

Results
Theoretical density   8.165 g cm⁻³
Volume   19.73 Å³ per atom

---

--- R ---
DFT (PBE-GGA) results for crystalline HoSiTc at its relaxed geometry.

a = 12.758 Å, b = 3.596 Å, c = 7.072 Å
α = 90.00°, β = 90.00°, γ = 90.00°
Fractional positions:
1 Ho 0.048 0.000 0.228
2 Ho 0.250 0.000 0.651
3 Ho 0.452 0.000 0.228
4 Ho 0.548 0.000 0.772
5 Ho 0.750 0.000 0.349
6 Ho 0.952 0.000 0.772
7 Si 0.091 0.500 0.554
8 Si 0.250 0.000 0.053
9 Si 0.409 0.500 0.554
10 Si 0.591 0.500 0.446
11 Si 0.750 0.000 0.947
12 Si 0.909 0.500 0.446
13 Tc 0.131 0.500 0.915
14 Tc 0.250 0.500 0.302
15 Tc 0.369 0.500 0.915
16 Tc 0.631 0.500 0.085
17 Tc 0.750 0.500 0.698
18 Tc 0.869 0.500 0.085

Results
Theoretical density   8.936 g cm⁻³
Volume   18.03 Å³ per atom

---

--- S ---
DFT (PBE-GGA) results for crystalline HoSiTc at its relaxed geometry.

a = 5.542 Å, b = 5.542 Å, c = 5.542 Å
α = 145.55°, β = 145.55°, γ = 49.52°
Fractional positions:
1 Ho 0.000 0.000 0.000
2 Si 0.296 0.296 0.000
3 Tc 0.700 0.700 0.000

Results
Theoretical density   8.911 g cm⁻³
Volume   18.08 Å³ per atom

---

Bottom line: Q, by a margin of 0.050 eV/atom.

---

--- P ---
DFT (PBE-GGA) results for crystalline HoSi2Tc2 at its relaxed geometry.

a = 8.368 Å, b = 7.237 Å, c = 5.688 Å
α = 79.71°, β = 58.32°, γ = 41.97°
Fractional positions:
1 Ho 0.125 0.125 0.125
2 Ho 0.875 0.875 0.875
3 Si 0.184 0.566 0.184
4 Si 0.434 0.816 0.434
5 Si 0.566 0.184 0.566
6 Si 0.816 0.434 0.816
7 Tc 0.262 0.262 0.488
8 Tc 0.488 0.488 0.262
9 Tc 0.512 0.512 0.738
10 Tc 0.738 0.738 0.512

Results
Theoretical density   7.613 g cm⁻³
Volume   18.20 Å³ per atom

---

--- Q ---
DFT (PBE-GGA) results for crystalline HoSi2Tc2 at its relaxed geometry.

a = 4.128 Å, b = 4.128 Å, c = 5.810 Å
α = 110.70°, β = 110.70°, γ = 90.06°
Fractional positions:
1 Ho 0.000 0.000 0.000
2 Si 0.378 0.378 0.755
3 Si 0.622 0.622 0.245
4 Tc 0.249 0.751 0.500
5 Tc 0.751 0.249 0.500

Results
Theoretical density   8.079 g cm⁻³
Volume   17.15 Å³ per atom

---

Bottom line: Q, by a margin of 0.123 eV/atom.

---

--- P ---
DFT (PBE-GGA) results for crystalline Ho3SiTe2 at its relaxed geometry.

a = 7.402 Å, b = 7.402 Å, c = 7.345 Å
α = 99.81°, β = 99.81°, γ = 119.16°
Fractional positions:
1 Ho 0.000 0.500 0.000
2 Ho 0.141 0.286 0.494
3 Ho 0.286 0.141 0.994
4 Ho 0.500 0.000 0.500
5 Ho 0.714 0.859 0.006
6 Ho 0.859 0.714 0.506
7 Si 0.091 0.909 0.250
8 Si 0.909 0.091 0.750
9 Te 0.260 0.740 0.750
10 Te 0.419 0.581 0.250
11 Te 0.581 0.419 0.750
12 Te 0.740 0.260 0.250

Results
Theoretical density   7.808 g cm⁻³
Volume   27.58 Å³ per atom

---

--- Q ---
DFT (PBE-GGA) results for crystalline Ho3SiTe2 at its relaxed geometry.

a = 7.372 Å, b = 7.372 Å, c = 7.466 Å
α = 99.44°, β = 99.44°, γ = 119.99°
Fractional positions:
1 Ho 0.069 0.424 0.775
2 Ho 0.217 0.217 0.219
3 Ho 0.424 0.069 0.775
4 Ho 0.576 0.931 0.225
5 Ho 0.783 0.783 0.781
6 Ho 0.931 0.576 0.225
7 Si 0.168 0.832 0.000
8 Si 0.832 0.168 0.000
9 Te 0.000 0.000 0.500
10 Te 0.341 0.659 0.500
11 Te 0.500 0.500 0.000
12 Te 0.659 0.341 0.500

Results
Theoretical density   7.783 g cm⁻³
Volume   27.67 Å³ per atom

---

Bottom line: Q, by a margin of 0.016 eV/atom.

---

--- P ---
DFT (PBE-GGA) results for crystalline HoThSi at its relaxed geometry.

a = 8.892 Å, b = 7.903 Å, c = 7.414 Å
α = 70.90°, β = 57.12°, γ = 51.98°
Fractional positions:
1 Ho 0.006 0.006 0.744
2 Ho 0.256 0.256 0.994
3 Ho 0.744 0.744 0.006
4 Ho 0.994 0.994 0.256
5 Th 0.000 0.500 0.500
6 Th 0.500 0.000 0.500
7 Th 0.500 0.500 0.000
8 Th 0.500 0.500 0.500
9 Si 0.065 0.685 0.065
10 Si 0.315 0.935 0.315
11 Si 0.685 0.065 0.685
12 Si 0.935 0.315 0.935

Results
Theoretical density   8.190 g cm⁻³
Volume   28.73 Å³ per atom

---

--- Q ---
DFT (PBE-GGA) results for crystalline HoThSi at its relaxed geometry.

a = 4.895 Å, b = 4.895 Å, c = 4.895 Å
α = 60.00°, β = 60.00°, γ = 60.00°
Fractional positions:
1 Ho 0.000 0.000 0.000
2 Th 0.500 0.500 0.500
3 Si 0.250 0.250 0.250

Results
Theoretical density   8.509 g cm⁻³
Volume   27.65 Å³ per atom

---

Bottom line: Q, by a margin of 0.047 eV/atom.

---

--- P ---
DFT (PBE-GGA) results for crystalline HoThSi2 at its relaxed geometry.

a = 5.969 Å, b = 5.969 Å, c = 5.969 Å
α = 45.19°, β = 45.19°, γ = 45.19°
Fractional positions:
1 Ho 0.000 0.000 0.000
2 Th 0.500 0.500 0.500
3 Si 0.259 0.259 0.259
4 Si 0.741 0.741 0.741

Results
Theoretical density   7.720 g cm⁻³
Volume   24.37 Å³ per atom

---

--- Q ---
DFT (PBE-GGA) results for crystalline HoThSi2 at its relaxed geometry.

a = 3.951 Å, b = 5.785 Å, c = 5.785 Å
α = 44.03°, β = 90.00°, γ = 90.00°
Fractional positions:
1 Ho 0.000 0.000 0.000
2 Th 0.500 0.720 0.720
3 Si 0.000 0.286 0.286
4 Si 0.500 0.437 0.437

Results
Theoretical density   8.190 g cm⁻³
Volume   22.97 Å³ per atom

---

Bottom line: Q, by a margin of 0.198 eV/atom.

---

--- P ---
DFT (PBE-GGA) results for crystalline SmHo2 at its relaxed geometry.

a = 7.963 Å, b = 7.963 Å, c = 7.963 Å
α = 154.19°, β = 154.19°, γ = 36.82°
Fractional positions:
1 Sm 0.000 0.000 0.000
2 Ho 0.332 0.332 0.000
3 Ho 0.668 0.668 0.000

Results
Theoretical density   8.345 g cm⁻³
Volume   31.85 Å³ per atom

---

--- Q ---
DFT (PBE-GGA) results for crystalline SmHo2 at its relaxed geometry.

a = 6.588 Å, b = 6.588 Å, c = 6.588 Å
α = 60.00°, β = 60.00°, γ = 60.00°
Fractional positions:
1 Sm 0.125 0.125 0.125
2 Sm 0.875 0.875 0.875
3 Ho 0.000 0.500 0.500
4 Ho 0.500 0.000 0.500
5 Ho 0.500 0.500 0.000
6 Ho 0.500 0.500 0.500

Results
Theoretical density   7.890 g cm⁻³
Volume   33.69 Å³ per atom

---

Bottom line: P, by a margin of 0.265 eV/atom.